A geometry-optimized Zn2Fe2Sb structure, computed with PBE.

Output
**DFT total energy**: -4.515 eV/atom
**Energy relative to the elements, uncorrected**: 0.204 eV per atom
**Fermi-level density of states**: 5.049 states/eV/f.u.

a = 6.523 Å, b = 6.523 Å, c = 3.661 Å
α = 90.00°, β = 90.00°, γ = 90.00°
Space group P4/mbm (No. 127)
Inequivalent atoms, fractional coordinates:
Zn: 0.155 0.345 0.000 (multiplicity 4)
Fe: 0.130 0.630 0.500 (multiplicity 4)
Sb: 0.000 0.000 0.500 (multiplicity 2)

A geometry-optimized ZnFeSb2 structure, computed with PBE.

Output
**DFT total energy**: -4.161 eV/atom
**Energy relative to the elements, uncorrected**: 0.334 eV per atom
**Fermi-level density of states**: 3.464 states/eV/f.u.

a = 3.3016 Å, b = 3.3016 Å, c = 26.8708 Å
α = 90.00°, β = 90.00°, γ = 120.00°
Space group R3m (No. 160, hexagonal axes)
Inequivalent atoms, fractional coordinates:
Zn: 0.0000 0.0000 0.0000 (multiplicity 3)
Fe: 0.0000 0.0000 0.7320 (multiplicity 3)
Sb: 0.0000 0.0000 0.2517 (multiplicity 3)
Sb: 0.0000 0.0000 0.4651 (multiplicity 3)

A geometry-optimized ZnFeSb3 structure, computed with PBE.

Output
**DFT total energy**: -3.973 eV/atom
**E above lowest polymorph**: 0.00 eV per formula unit
**Energy relative to the elements, uncorrected**: 0.448 eV per atom
**Fermi-level density of states**: 4.811 states/eV/f.u.

a = 4.955 Å, b = 4.955 Å, c = 4.955 Å
α = 90.00°, β = 90.00°, γ = 90.00°
Space group Pm-3m (No. 221)
Inequivalent atoms, fractional coordinates:
Zn: 0.000 0.000 0.000 (multiplicity 1)
Fe: 0.500 0.500 0.500 (multiplicity 1)
Sb: 0.000 0.500 0.500 (multiplicity 3)

A geometry-optimized ZnFeSb2 structure, computed with PBE.

Output
**DFT total energy**: -4.463 eV/atom
**Energy relative to the elements, uncorrected**: 0.032 eV per atom
**Fermi-level density of states**: 3.646 states/eV/f.u.

a = 4.2251 Å, b = 4.2251 Å, c = 5.1737 Å
α = 90.00°, β = 90.00°, γ = 120.00°
Space group P-3m1 (No. 164)
Inequivalent atoms, fractional coordinates:
Zn: 0.0000 0.0000 0.0000 (multiplicity 1)
Fe: 0.0000 0.0000 0.5000 (multiplicity 1)
Sb: 0.3333 0.6667 0.2991 (multiplicity 2)

A geometry-optimized ZnFe6Sb structure, computed with PBE.

Output
**DFT total energy**: -6.958 eV/atom
**Energy relative to the elements, uncorrected**: 0.064 eV per atom
**Fermi-level density of states**: 3.924 states/eV/f.u.

a = 7.444 Å, b = 10.543 Å, c = 10.556 Å
α = 90.00°, β = 90.00°, γ = 90.00°
Space group Cmmm (No. 65)
Inequivalent atoms, fractional coordinates:
Zn: 0.000 0.000 0.245 (multiplicity 4)
Zn: 0.000 0.252 0.000 (multiplicity 4)
Fe: 0.000 0.000 0.000 (multiplicity 2)
Fe: 0.000 0.000 0.500 (multiplicity 2)
Fe: 0.000 0.245 0.244 (multiplicity 8)
Fe: 0.000 0.500 0.000 (multiplicity 2)
Fe: 0.000 0.500 0.500 (multiplicity 2)
Fe: 0.243 0.122 0.371 (multiplicity 16)
Fe: 0.245 0.127 0.121 (multiplicity 16)
Sb: 0.000 0.253 0.500 (multiplicity 4)
Sb: 0.000 0.500 0.246 (multiplicity 4)

A geometry-optimized ZnFeSb3 structure, computed with PBE.

Output
**DFT total energy**: -3.383 eV/atom
**E above lowest polymorph**: 2.95 eV per formula unit
**Energy relative to the elements, uncorrected**: 1.037 eV per atom
**Fermi-level density of states**: 8.136 states/eV/f.u.

a = 5.171 Å, b = 5.171 Å, c = 5.171 Å
α = 90.00°, β = 90.00°, γ = 90.00°
Space group Pm-3m (No. 221)
Inequivalent atoms, fractional coordinates:
Zn: 0.000 0.000 0.000 (multiplicity 1)
Fe: 0.500 0.500 0.500 (multiplicity 1)
Sb: 0.000 0.000 0.500 (multiplicity 3)